(1)
Below is a geometry-optimized Nd2SeCl structure, with properties calculated at the GGA-PBE level.

Summary:
- crystal system = trigonal
- formation energy from raw total energies (kJ/mol of atoms) = -150.9
- relative energy among the computed polymorphs (eV per formula unit) = 0.00
- N(E_F) (states/eV/f.u.) = 2.31

a = 4.2713 Å, b = 4.2713 Å, c = 19.5967 Å
α = 90.00°, β = 90.00°, γ = 120.00°
Fractional coordinates of all 12 atoms:
1 Nd 0.0000 0.0000 0.2463
2 Nd 0.0000 0.0000 0.7537
3 Nd 0.3333 0.6667 0.4204
4 Nd 0.3333 0.6667 0.9129
5 Nd 0.6667 0.3333 0.0871
6 Nd 0.6667 0.3333 0.5796
7 Se 0.0000 0.0000 0.5000
8 Se 0.3333 0.6667 0.1667
9 Se 0.6667 0.3333 0.8333
10 Cl 0.0000 0.0000 0.0000
11 Cl 0.3333 0.6667 0.6667
12 Cl 0.6667 0.3333 0.3333

(2)
Below is a geometry-optimized Er2TeN structure, with properties calculated at the GGA-PBE level.

Summary:
- crystal system = monoclinic
- formation energy from raw total energies (kJ/mol of atoms) = -131.6
- relative energy among the computed polymorphs (eV per formula unit) = 0.04
- N(E_F) (states/eV/f.u.) = 1.66

a = 8.0232 Å, b = 6.8574 Å, c = 6.6158 Å
α = 90.00°, β = 92.48°, γ = 90.00°
Fractional coordinates of all 16 atoms:
1 Er 0.0848 0.1667 0.3631
2 Er 0.0848 0.3333 0.8631
3 Er 0.2805 0.6746 0.5527
4 Er 0.2805 0.8254 0.0527
5 Er 0.7195 0.1746 0.9473
6 Er 0.7195 0.3254 0.4473
7 Er 0.9152 0.6667 0.1369
8 Er 0.9152 0.8333 0.6369
9 Te 0.3736 0.0998 0.7090
10 Te 0.3736 0.4002 0.2090
11 Te 0.6264 0.5998 0.7910
12 Te 0.6264 0.9002 0.2910
13 N 0.1044 0.6661 0.8459
14 N 0.1044 0.8339 0.3459
15 N 0.8956 0.1661 0.6541
16 N 0.8956 0.3339 0.1541

(3)
Below is a geometry-optimized HgOsO2F structure, with properties calculated at the GGA-PBE level.

Summary:
- crystal system = tetragonal
- formation energy from raw total energies (kJ/mol of atoms) = -67.0
- N(E_F) (states/eV/f.u.) = 1.75

a = 3.6817 Å, b = 3.6817 Å, c = 6.8963 Å
α = 90.00°, β = 90.00°, γ = 90.00°
Fractional coordinates of all 5 atoms:
1 Hg 0.0000 0.0000 0.0000
2 Os 0.5000 0.5000 0.5000
3 O 0.0000 0.5000 0.5000
4 O 0.5000 0.0000 0.5000
5 F 0.5000 0.5000 0.0000

(4)
Below is a geometry-optimized Cd2W structure, with properties calculated at the GGA-PBE level.

Summary:
- crystal system = orthorhombic
- relative energy among the computed polymorphs (eV per formula unit) = 1.13
- N(E_F) (states/eV/f.u.) = 2.42
- calculated formation energy (kJ/mol of formula units) = 237

a = 2.8390 Å, b = 15.8700 Å, c = 5.0869 Å
α = 90.00°, β = 90.00°, γ = 90.00°
Fractional coordinates of all 12 atoms:
1 Cd 0.0000 0.0603 0.2500
2 Cd 0.0000 0.2729 0.7500
3 Cd 0.0000 0.7271 0.2500
4 Cd 0.0000 0.9397 0.7500
5 Cd 0.5000 0.2271 0.2500
6 Cd 0.5000 0.4397 0.7500
7 Cd 0.5000 0.5603 0.2500
8 Cd 0.5000 0.7729 0.7500
9 W 0.0000 0.3927 0.2500
10 W 0.0000 0.6073 0.7500
11 W 0.5000 0.1073 0.7500
12 W 0.5000 0.8927 0.2500

(5)
Below is a geometry-optimized CsPmSn2Cl8 structure, with properties calculated at the GGA-PBE level.

Summary:
- crystal system = triclinic
- formation energy from raw total energies (kJ/mol of atoms) = -152.9
- N(E_F) (states/eV/f.u.) = 0.00

a = 6.5218 Å, b = 7.0074 Å, c = 9.6525 Å
α = 84.39°, β = 86.89°, γ = 87.03°
Fractional coordinates of all 12 atoms:
1 Cs 0.0000 0.0000 0.0000
2 Pm 0.0000 0.0000 0.5000
3 Sn 0.4844 0.4824 0.2572
4 Sn 0.5156 0.5176 0.7428
5 Cl 0.2284 0.8256 0.3007
6 Cl 0.2390 0.3207 0.4598
7 Cl 0.2595 0.8605 0.7033
8 Cl 0.2683 0.3905 0.0679
9 Cl 0.7317 0.6095 0.9321
10 Cl 0.7405 0.1395 0.2967
11 Cl 0.7610 0.6793 0.5402
12 Cl 0.7716 0.1744 0.6993

(6)
Below is a geometry-optimized Nd12Tl5Pd3 structure, with properties calculated at the GGA-PBE level.

Summary:
- crystal system = cubic
- N(E_F) (states/eV/f.u.) = 26.82
- calculated formation energy (kJ/mol of formula units) = 181

a = 15.5094 Å, b = 15.5094 Å, c = 15.5094 Å
α = 109.47°, β = 109.47°, γ = 109.47°
Fractional coordinates of all 80 atoms:
1 Nd 0.0621 0.6316 0.3968
2 Nd 0.0621 0.9305 0.6653
3 Nd 0.0695 0.2348 0.1316
4 Nd 0.0695 0.3347 0.9379
5 Nd 0.1032 0.7348 0.6653
6 Nd 0.1032 0.8684 0.4379
7 Nd 0.1316 0.0695 0.2348
8 Nd 0.1316 0.5621 0.8968
9 Nd 0.1653 0.2348 0.6032
10 Nd 0.1653 0.4305 0.5621
11 Nd 0.2348 0.1316 0.0695
12 Nd 0.2348 0.6032 0.1653
13 Nd 0.2652 0.3347 0.8968
14 Nd 0.2652 0.4305 0.3684
15 Nd 0.3347 0.8968 0.2652
16 Nd 0.3347 0.9379 0.0695
17 Nd 0.3684 0.2652 0.4305
18 Nd 0.3684 0.6032 0.9379
19 Nd 0.3968 0.0621 0.6316
20 Nd 0.3968 0.8347 0.7652
21 Nd 0.4305 0.3684 0.2652
22 Nd 0.4305 0.5621 0.1653
23 Nd 0.4379 0.1032 0.8684
24 Nd 0.4379 0.8347 0.5695
25 Nd 0.5621 0.1653 0.4305
26 Nd 0.5621 0.8968 0.1316
27 Nd 0.5695 0.4379 0.8347
28 Nd 0.5695 0.6316 0.7348
29 Nd 0.6032 0.1653 0.2348
30 Nd 0.6032 0.9379 0.3684
31 Nd 0.6316 0.3968 0.0621
32 Nd 0.6316 0.7348 0.5695
33 Nd 0.6653 0.0621 0.9305
34 Nd 0.6653 0.1032 0.7348
35 Nd 0.7348 0.5695 0.6316
36 Nd 0.7348 0.6653 0.1032
37 Nd 0.7652 0.3968 0.8347
38 Nd 0.7652 0.8684 0.9305
39 Nd 0.8347 0.5695 0.4379
40 Nd 0.8347 0.7652 0.3968
41 Nd 0.8684 0.4379 0.1032
42 Nd 0.8684 0.9305 0.7652
43 Nd 0.8968 0.1316 0.5621
44 Nd 0.8968 0.2652 0.3347
45 Nd 0.9305 0.6653 0.0621
46 Nd 0.9305 0.7652 0.8684
47 Nd 0.9379 0.0695 0.3347
48 Nd 0.9379 0.3684 0.6032
49 Tl 0.0000 0.0000 0.0000
50 Tl 0.0000 0.0000 0.5000
51 Tl 0.0000 0.5000 0.0000
52 Tl 0.0000 0.5000 0.5000
53 Tl 0.1250 0.7500 0.8750
54 Tl 0.1250 0.8750 0.2500
55 Tl 0.2500 0.1250 0.8750
56 Tl 0.2500 0.6250 0.3750
57 Tl 0.3750 0.2500 0.6250
58 Tl 0.3750 0.6250 0.7500
59 Tl 0.5000 0.0000 0.0000
60 Tl 0.5000 0.0000 0.5000
61 Tl 0.5000 0.5000 0.0000
62 Tl 0.5000 0.5000 0.5000
63 Tl 0.6250 0.3750 0.2500
64 Tl 0.6250 0.7500 0.3750
65 Tl 0.7500 0.3750 0.6250
66 Tl 0.7500 0.8750 0.1250
67 Tl 0.8750 0.1250 0.7500
68 Tl 0.8750 0.2500 0.1250
69 Pd 0.1250 0.2500 0.3750
70 Pd 0.1250 0.3750 0.7500
71 Pd 0.2500 0.3750 0.1250
72 Pd 0.2500 0.8750 0.6250
73 Pd 0.3750 0.1250 0.2500
74 Pd 0.3750 0.7500 0.1250
75 Pd 0.6250 0.2500 0.8750
76 Pd 0.6250 0.8750 0.7500
77 Pd 0.7500 0.1250 0.3750
78 Pd 0.7500 0.6250 0.8750
79 Pd 0.8750 0.6250 0.2500
80 Pd 0.8750 0.7500 0.6250

(7)
Below is a geometry-optimized Li2Sm2DyIn2 structure, with properties calculated at the GGA-PBE level.

Summary:
- crystal system = trigonal
- N(E_F) (states/eV/f.u.) = 5.89
- calculated formation energy (kJ/mol of formula units) = -158

a = 9.3399 Å, b = 9.3399 Å, c = 9.3399 Å
α = 30.27°, β = 30.27°, γ = 30.27°
Fractional coordinates of all 7 atoms:
1 Li 0.1087 0.1087 0.1087
2 Li 0.8913 0.8913 0.8913
3 Sm 0.3731 0.3731 0.3731
4 Sm 0.6269 0.6269 0.6269
5 Dy 0.5000 0.5000 0.5000
6 In 0.2352 0.2352 0.2352
7 In 0.7648 0.7648 0.7648

(8)
Below is a geometry-optimized MgGePbO5 structure, with properties calculated at the GGA-PBE level.

Summary:
- crystal system = monoclinic
- formation energy from raw total energies (kJ/mol of atoms) = -148.8

a = 5.6036 Å, b = 5.6036 Å, c = 7.5896 Å
α = 103.54°, β = 103.54°, γ = 105.62°
Fractional coordinates of all 16 atoms:
1 Mg 0.1577 0.8423 0.7500
2 Mg 0.8423 0.1577 0.2500
3 Ge 0.1768 0.8232 0.2500
4 Ge 0.8232 0.1768 0.7500
5 Pb 0.5000 0.5000 0.0000
6 Pb 0.5000 0.5000 0.5000
7 O 0.1115 0.1977 0.9220
8 O 0.1446 0.5550 0.3405
9 O 0.1977 0.1115 0.4220
10 O 0.3855 0.6145 0.7500
11 O 0.4450 0.8554 0.1595
12 O 0.5550 0.1446 0.8405
13 O 0.6145 0.3855 0.2500
14 O 0.8023 0.8885 0.5780
15 O 0.8554 0.4450 0.6595
16 O 0.8885 0.8023 0.0780

(9)
Below is a geometry-optimized Tm4U structure, with properties calculated at the GGA-PBE level.

Summary:
- crystal system = cubic
- N(E_F) (states/eV/f.u.) = 10.50
- calculated formation energy (kJ/mol of formula units) = 432

a = 5.4984 Å, b = 5.4984 Å, c = 5.4984 Å
α = 90.00°, β = 90.00°, γ = 90.00°
Fractional coordinates of all 5 atoms:
1 Tm 0.0000 0.0000 0.0000
2 Tm 0.0000 0.5000 0.5000
3 Tm 0.5000 0.0000 0.5000
4 Tm 0.5000 0.5000 0.0000
5 U 0.5000 0.5000 0.5000

(10)
Below is a geometry-optimized U4Te2N structure, with properties calculated at the GGA-PBE level.

Summary:
- crystal system = tetragonal
- formation energy from raw total energies (kJ/mol of atoms) = -44.6
- N(E_F) (states/eV/f.u.) = 19.64

a = 4.5831 Å, b = 4.5831 Å, c = 15.6580 Å
α = 90.00°, β = 90.00°, γ = 90.00°
Fractional coordinates of all 14 atoms:
1 U 0.0000 0.0000 0.1510
2 U 0.0000 0.0000 0.8490
3 U 0.0000 0.5000 0.0000
4 U 0.0000 0.5000 0.5000
5 U 0.5000 0.0000 0.0000
6 U 0.5000 0.0000 0.5000
7 U 0.5000 0.5000 0.3490
8 U 0.5000 0.5000 0.6510
9 Te 0.0000 0.0000 0.3534
10 Te 0.0000 0.0000 0.6466
11 Te 0.5000 0.5000 0.1466
12 Te 0.5000 0.5000 0.8534
13 N 0.0000 0.0000 0.0000
14 N 0.5000 0.5000 0.5000

(11)
Below is a geometry-optimized Sr4Cd5Ge6 structure, with properties calculated at the GGA-PBE level.

Summary:
- crystal system = orthorhombic
- N(E_F) (states/eV/f.u.) = 8.21
- calculated formation energy (kJ/mol of formula units) = -490

a = 10.5339 Å, b = 10.5339 Å, c = 16.8220 Å
α = 90.00°, β = 90.00°, γ = 154.74°
Fractional coordinates of all 30 atoms:
1 Sr 0.0168 0.9832 0.5000
2 Sr 0.0341 0.9659 0.7609
3 Sr 0.1670 0.8330 0.3002
4 Sr 0.1761 0.8239 0.9425
5 Sr 0.8239 0.1761 0.4425
6 Sr 0.8330 0.1670 0.8002
7 Sr 0.9659 0.0341 0.2609
8 Sr 0.9832 0.0168 0.0000
9 Cd 0.1514 0.8486 0.6225
10 Cd 0.2987 0.7013 0.6193
11 Cd 0.3435 0.6565 0.2682
12 Cd 0.3525 0.6474 0.9772
13 Cd 0.4385 0.5615 0.6752
14 Cd 0.5615 0.4385 0.1752
15 Cd 0.6474 0.3525 0.4772
16 Cd 0.6565 0.3435 0.7682
17 Cd 0.7013 0.2987 0.1193
18 Cd 0.8486 0.1514 0.1225
19 Ge 0.1135 0.8865 0.1147
20 Ge 0.2196 0.7804 0.4815
21 Ge 0.2259 0.7741 0.7614
22 Ge 0.4293 0.5707 0.1274
23 Ge 0.4357 0.5643 0.3960
24 Ge 0.4478 0.5522 0.8544
25 Ge 0.5522 0.4478 0.3544
26 Ge 0.5643 0.4357 0.8960
27 Ge 0.5707 0.4293 0.6274
28 Ge 0.7741 0.2259 0.2614
29 Ge 0.7804 0.2196 0.9815
30 Ge 0.8865 0.1135 0.6147

(12)
Below is a geometry-optimized GaFe2P structure, with properties calculated at the GGA-PBE level.

Summary:
- crystal system = cubic
- relative energy among the computed polymorphs (eV per formula unit) = 0.49
- N(E_F) (states/eV/f.u.) = 0.40
- calculated formation energy (kJ/mol of formula units) = -45

a = 5.6117 Å, b = 5.6117 Å, c = 5.6117 Å
α = 90.00°, β = 90.00°, γ = 90.00°
Fractional coordinates of all 16 atoms:
1 Ga 0.0000 0.0000 0.0000
2 Ga 0.0000 0.5000 0.5000
3 Ga 0.5000 0.0000 0.5000
4 Ga 0.5000 0.5000 0.0000
5 Fe 0.2500 0.2500 0.2500
6 Fe 0.2500 0.2500 0.7500
7 Fe 0.2500 0.7500 0.2500
8 Fe 0.2500 0.7500 0.7500
9 Fe 0.7500 0.2500 0.2500
10 Fe 0.7500 0.2500 0.7500
11 Fe 0.7500 0.7500 0.2500
12 Fe 0.7500 0.7500 0.7500
13 P 0.0000 0.0000 0.5000
14 P 0.0000 0.5000 0.0000
15 P 0.5000 0.0000 0.0000
16 P 0.5000 0.5000 0.5000

(13)
Below is a geometry-optimized BaIn2CoPb structure, with properties calculated at the GGA-PBE level.

Summary:
- crystal system = tetragonal
- relative energy among the computed polymorphs (eV per formula unit) = 5.24
- N(E_F) (states/eV/f.u.) = 9.38
- calculated formation energy (kJ/mol of formula units) = 432

a = 5.7713 Å, b = 5.7713 Å, c = 6.7604 Å
α = 90.00°, β = 90.00°, γ = 90.00°
Fractional coordinates of all 5 atoms:
1 Ba 0.0000 0.0000 0.0000
2 In 0.0000 0.5000 0.5000
3 In 0.5000 0.0000 0.5000
4 Co 0.5000 0.5000 0.0000
5 Pb 0.0000 0.0000 0.5000

(14)
Below is a geometry-optimized Sr2MgPbO5 structure, with properties calculated at the GGA-PBE level.

Summary:
- crystal system = orthorhombic
- formation energy from raw total energies (kJ/mol of atoms) = -199.4

a = 7.0087 Å, b = 7.0087 Å, c = 11.5028 Å
α = 90.00°, β = 90.00°, γ = 151.03°
Fractional coordinates of all 18 atoms:
1 Sr 0.0981 0.9019 0.5000
2 Sr 0.1553 0.8447 0.1084
3 Sr 0.8447 0.1553 0.6084
4 Sr 0.9019 0.0981 0.0000
5 Mg 0.2294 0.7706 0.8515
6 Mg 0.7706 0.2294 0.3515
7 Pb 0.4608 0.5392 0.2810
8 Pb 0.5392 0.4608 0.7810
9 O 0.0713 0.9287 0.8839
10 O 0.2709 0.7291 0.4797
11 O 0.3057 0.6943 0.2333
12 O 0.3840 0.6160 0.8365
13 O 0.4917 0.5083 0.6057
14 O 0.5083 0.4917 0.1057
15 O 0.6160 0.3840 0.3365
16 O 0.6943 0.3057 0.7333
17 O 0.7291 0.2709 0.9797
18 O 0.9287 0.0713 0.3839

(15)
Below is a geometry-optimized Co2HgW structure, with properties calculated at the GGA-PBE level.

Summary:
- crystal system = cubic
- N(E_F) (states/eV/f.u.) = 6.70
- calculated formation energy (kJ/mol of formula units) = 298

a = 6.1635 Å, b = 6.1635 Å, c = 6.1635 Å
α = 90.00°, β = 90.00°, γ = 90.00°
Fractional coordinates of all 16 atoms:
1 Co 0.0000 0.0000 0.0000
2 Co 0.0000 0.5000 0.5000
3 Co 0.2500 0.2500 0.2500
4 Co 0.2500 0.7500 0.7500
5 Co 0.5000 0.0000 0.5000
6 Co 0.5000 0.5000 0.0000
7 Co 0.7500 0.2500 0.7500
8 Co 0.7500 0.7500 0.2500
9 Hg 0.0000 0.0000 0.5000
10 Hg 0.0000 0.5000 0.0000
11 Hg 0.5000 0.0000 0.0000
12 Hg 0.5000 0.5000 0.5000
13 W 0.2500 0.2500 0.7500
14 W 0.2500 0.7500 0.2500
15 W 0.7500 0.2500 0.2500
16 W 0.7500 0.7500 0.7500

(16)
Below is a geometry-optimized ScReIr2 structure, with properties calculated at the GGA-PBE level.

Summary:
- crystal system = monoclinic
- relative energy among the computed polymorphs (eV per formula unit) = 0.95
- N(E_F) (states/eV/f.u.) = 3.16
- calculated formation energy (kJ/mol of formula units) = -84

a = 9.2943 Å, b = 2.7833 Å, c = 4.9007 Å
α = 90.00°, β = 99.21°, γ = 90.00°
Fractional coordinates of all 8 atoms:
1 Sc 0.0000 0.0000 0.0000
2 Sc 0.5000 0.5000 0.0000
3 Re 0.0000 0.5000 0.5000
4 Re 0.5000 0.0000 0.5000
5 Ir 0.2461 0.0000 0.7340
6 Ir 0.2539 0.5000 0.2660
7 Ir 0.7461 0.5000 0.7340
8 Ir 0.7539 0.0000 0.2660

(17)
Below is a geometry-optimized ScV2PH structure, with properties calculated at the GGA-PBE level.

Summary:
- crystal system = tetragonal
- uncorrected energy (hartree per atom) = -0.207
- N(E_F) (states/eV/f.u.) = 5.13

a = 4.7239 Å, b = 4.7239 Å, c = 3.4058 Å
α = 90.00°, β = 90.00°, γ = 90.00°
Fractional coordinates of all 5 atoms:
1 Sc 0.0000 0.0000 0.0000
2 V 0.0000 0.5000 0.0000
3 V 0.5000 0.0000 0.0000
4 P 0.5000 0.5000 0.5000
5 H 0.0000 0.0000 0.5000

(18)
Below is a geometry-optimized CaZrRh2 structure, with properties calculated at the GGA-PBE level.

Summary:
- crystal system = orthorhombic
- relative energy among the computed polymorphs (eV per formula unit) = 0.93
- N(E_F) (states/eV/f.u.) = 2.52
- calculated formation energy (kJ/mol of formula units) = -176

a = 4.4604 Å, b = 3.4087 Å, c = 10.3678 Å
α = 90.00°, β = 90.00°, γ = 90.00°
Fractional coordinates of all 8 atoms:
1 Ca 0.0000 0.0000 0.0000
2 Ca 0.0000 0.5000 0.5000
3 Zr 0.5000 0.0000 0.2750
4 Zr 0.5000 0.5000 0.7750
5 Rh 0.0000 0.0000 0.7331
6 Rh 0.0000 0.5000 0.2331
7 Rh 0.5000 0.0000 0.5641
8 Rh 0.5000 0.5000 0.0641

(19)
Below is a geometry-optimized Cs2PmErO4 structure, with properties calculated at the GGA-PBE level.

Summary:
- crystal system = monoclinic
- formation energy from raw total energies (kJ/mol of atoms) = -249.2
- N(E_F) (states/eV/f.u.) = 0.00

a = 6.2352 Å, b = 3.6001 Å, c = 7.2117 Å
α = 90.00°, β = 106.71°, γ = 90.00°
Fractional coordinates of all 8 atoms:
1 Cs 0.0000 0.0000 0.0000
2 Cs 0.5000 0.5000 0.0000
3 Pm 0.0000 0.5000 0.5000
4 Er 0.5000 0.0000 0.5000
5 O 0.2318 0.0000 0.6659
6 O 0.2872 0.5000 0.3349
7 O 0.7128 0.5000 0.6651
8 O 0.7682 0.0000 0.3341

(20)
Below is a geometry-optimized CsSrRe3 structure, with properties calculated at the GGA-PBE level.

Summary:
- crystal system = cubic
- N(E_F) (states/eV/f.u.) = 7.83
- calculated formation energy (kJ/mol of formula units) = 1641

a = 5.0545 Å, b = 5.0545 Å, c = 5.0545 Å
α = 90.00°, β = 90.00°, γ = 90.00°
Fractional coordinates of all 5 atoms:
1 Cs 0.0000 0.0000 0.0000
2 Sr 0.5000 0.5000 0.5000
3 Re 0.0000 0.0000 0.5000
4 Re 0.0000 0.5000 0.0000
5 Re 0.5000 0.0000 0.0000